Record 1
This record from the Alexandria database describes a relaxed structure of CoAgTe2. The functional is GGA-PBE.

Properties
- N(E_F) (states/eV/atom) = 1.039
- raw formation energy (kJ per mole of atoms) = 8
- total magnetization (μB per formula unit) = 0.7
- V (Å³/cell) = 101.97

Structure (CIF):
```
data_CoAgTe2
_chemical_formula_sum 'Co1 Ag1 Te2'
_cell_length_a 4.098
_cell_length_b 4.163
_cell_length_c 5.978
_cell_angle_alpha 90.00
_cell_angle_beta 90.57
_cell_angle_gamma 90.00
_space_group_name_H-M_alt 'P 1 m 1'
_space_group_IT_number 6
loop_
_space_group_symop_operation_xyz
'x,y,z'
'x,-y,z'
loop_
_atom_site_label
_atom_site_fract_x
_atom_site_fract_y
_atom_site_fract_z
Co1 0.000 0.000 0.000
Ag1 0.993 0.500 0.690
Te1 0.006 0.500 0.218
Te2 0.497 0.000 0.764
```


Record 2
This record from the Alexandria database describes a relaxed structure of CoAgTe2. The functional is GGA-PBE.

Properties
- N(E_F) (states/eV/atom) = 1.139
- raw formation energy (kJ per mole of atoms) = 47
- total magnetization (μB per formula unit) = 1.8
- V (Å³/cell) = 89.74

Structure (CIF):
```
data_CoAgTe2
_chemical_formula_sum 'Co1 Ag1 Te2'
_cell_length_a 3.885
_cell_length_b 4.039
_cell_length_c 5.720
_cell_angle_alpha 90.00
_cell_angle_beta 90.00
_cell_angle_gamma 90.00
_space_group_name_H-M_alt 'P m m m'
_space_group_IT_number 47
loop_
_space_group_symop_operation_xyz
'x,y,z'
'-x,-y,-z'
'-x,-y,z'
'x,y,-z'
'x,-y,-z'
'-x,y,z'
'-x,y,-z'
'x,-y,z'
loop_
_atom_site_label
_atom_site_fract_x
_atom_site_fract_y
_atom_site_fract_z
Co1 0.000 0.000 0.000
Ag1 0.000 0.500 0.500
Te1 0.500 0.000 0.500
Te2 0.500 0.500 0.000
```


Record 3
This record from the Alexandria database describes a relaxed structure of CoAgTe2. The functional is GGA-PBE.

Properties
- N(E_F) (states/eV/atom) = 0.991
- raw formation energy (kJ per mole of atoms) = 23
- total magnetization (μB per formula unit) = 0.9
- V (Å³/cell) = 92.08

Structure (CIF):
```
data_CoAgTe2
_chemical_formula_sum 'Co1 Ag1 Te2'
_cell_length_a 3.121
_cell_length_b 3.720
_cell_length_c 7.934
_cell_angle_alpha 90.00
_cell_angle_beta 91.37
_cell_angle_gamma 90.00
_space_group_name_H-M_alt 'P 1 2/m 1'
_space_group_IT_number 10
loop_
_space_group_symop_operation_xyz
'x,y,z'
'-x,-y,-z'
'-x,y,-z'
'x,-y,z'
loop_
_atom_site_label
_atom_site_fract_x
_atom_site_fract_y
_atom_site_fract_z
Co1 0.000 0.000 0.000
Ag1 0.000 0.000 0.500
Te1 0.150 0.500 0.210
```